[1]
{"formula": "ZnP3", "functional": "PBE", "state": "optimized geometry", "lattice": [[3.170, 0.000, 0.000], [0.000, 4.724, 0.000], [0.000, 0.000, 8.098]], "species": ["Zn", "Zn", "P", "P", "P", "P", "P", "P"], "frac_coords": [[0.000, 0.000, 0.000], [0.500, 0.500, 0.000], [0.000, 0.000, 0.500], [0.000, 0.500, 0.271], [0.000, 0.500, 0.729], [0.500, 0.000, 0.271], [0.500, 0.000, 0.729], [0.500, 0.500, 0.500]], "dft_energy_ev_per_cell": -30.5, "rho_g_cm3": 4.34, "spacegroup": "Cmmm, No. 65", "formation_energy_ev_per_atom": 0.56, "e_above_lowest_polymorph_ev_per_atom": 0.689}

---

[2]
{"formula": "ZnP3", "functional": "PBE", "state": "optimized geometry", "lattice": [[2.751, 0.000, 0.000], [-1.376, 2.383, 0.000], [0.000, 0.000, 27.281]], "species": ["Zn", "Zn", "Zn", "P", "P", "P", "P", "P", "P", "P", "P", "P"], "frac_coords": [[0.000, 0.000, 0.000], [0.333, 0.667, 0.667], [0.667, 0.333, 0.333], [0.000, 0.000, 0.249], [0.000, 0.000, 0.500], [0.000, 0.000, 0.751], [0.333, 0.667, 0.167], [0.333, 0.667, 0.418], [0.333, 0.667, 0.916], [0.667, 0.333, 0.084], [0.667, 0.333, 0.582], [0.667, 0.333, 0.833]], "dft_energy_ev_per_cell": -45.0, "rho_g_cm3": 4.41, "spacegroup": "R-3m, No. 166", "formation_energy_ev_per_atom": 0.62, "e_above_lowest_polymorph_ev_per_atom": 0.749}

---

[3]
{"formula": "ZnP2", "functional": "PBE", "state": "optimized geometry", "lattice": [[4.481, 0.000, 0.000], [-2.240, 3.880, 0.000], [0.000, 0.000, 5.292]], "species": ["Zn", "Zn", "P", "P", "P", "P"], "frac_coords": [[0.333, 0.667, 0.250], [0.667, 0.333, 0.750], [0.000, 0.000, 0.000], [0.000, 0.000, 0.500], [0.333, 0.667, 0.750], [0.667, 0.333, 0.250]], "dft_energy_ev_per_cell": -20.7, "rho_g_cm3": 4.60, "spacegroup": "P6_3/mmc, No. 194", "formation_energy_ev_per_atom": 0.57}

---

[4]
{"formula": "Zn3P2", "functional": "PBE", "state": "optimized geometry", "lattice": [[3.897, 0.000, 0.000], [-1.949, 3.375, 0.000], [0.000, 0.000, 6.475]], "species": ["Zn", "Zn", "Zn", "P", "P"], "frac_coords": [[0.000, 0.000, 0.000], [0.333, 0.667, 0.373], [0.667, 0.333, 0.627], [0.333, 0.667, 0.768], [0.667, 0.333, 0.232]], "dft_energy_ev_per_cell": -14.9, "rho_g_cm3": 5.03, "spacegroup": "P-3m1, No. 164", "formation_energy_ev_per_atom": -0.06, "e_above_lowest_polymorph_ev_per_atom": 0.122}

---

[5]
{"formula": "Zn2P", "functional": "PBE", "state": "optimized geometry", "lattice": [[2.538, 0.000, 0.000], [0.000, 15.043, 0.000], [0.000, 0.000, 5.002]], "species": ["Zn", "Zn", "Zn", "Zn", "Zn", "Zn", "Zn", "Zn", "P", "P", "P", "P"], "frac_coords": [[0.000, 0.081, 0.250], [0.000, 0.243, 0.750], [0.000, 0.757, 0.250], [0.000, 0.919, 0.750], [0.500, 0.257, 0.250], [0.500, 0.419, 0.750], [0.500, 0.581, 0.250], [0.500, 0.743, 0.750], [0.000, 0.421, 0.250], [0.000, 0.579, 0.750], [0.500, 0.079, 0.750], [0.500, 0.921, 0.250]], "dft_energy_ev_per_cell": -29.0, "rho_g_cm3": 5.63, "spacegroup": "Cmcm, No. 63", "formation_energy_ev_per_atom": 0.23}

---

[6]
{"formula": "ZnP2", "functional": "PBE", "state": "optimized geometry", "lattice": [[2.798, 0.000, 0.000], [-1.399, 2.423, 0.000], [0.000, 0.000, 7.435]], "species": ["Zn", "P", "P"], "frac_coords": [[0.000, 0.000, 0.000], [0.333, 0.667, 0.276], [0.667, 0.333, 0.724]], "dft_energy_ev_per_cell": -10.5, "rho_g_cm3": 4.20, "spacegroup": "P-3m1, No. 164", "formation_energy_ev_per_atom": 0.52}

---

[7]
{"formula": "ZnP3", "functional": "PBE", "state": "optimized geometry", "lattice": [[2.496, 0.000, 0.000], [0.000, 3.541, 0.000], [0.000, 0.000, 6.886]], "species": ["Zn", "P", "P", "P"], "frac_coords": [[0.000, 0.000, 0.000], [0.000, 0.000, 0.500], [0.500, 0.500, 0.259], [0.500, 0.500, 0.741]], "dft_energy_ev_per_cell": -15.3, "rho_g_cm3": 4.32, "spacegroup": "Pmmm, No. 47", "formation_energy_ev_per_atom": 0.56, "e_above_lowest_polymorph_ev_per_atom": 0.684}

---

[8]
{"formula": "ZnP3", "functional": "PBE", "state": "optimized geometry", "lattice": [[4.667, 0.000, 0.000], [0.000, 4.667, 0.000], [0.000, 0.000, 4.667]], "species": ["Zn", "P", "P", "P"], "frac_coords": [[0.000, 0.000, 0.000], [0.000, 0.000, 0.500], [0.000, 0.500, 0.000], [0.500, 0.000, 0.000]], "dft_energy_ev_per_cell": -12.2, "rho_g_cm3": 2.59, "spacegroup": "Pm-3m, No. 221", "formation_energy_ev_per_atom": 1.33, "e_above_lowest_polymorph_ev_per_atom": 1.454}

---

[9]
{"formula": "ZnP2", "functional": "PBE", "state": "optimized geometry", "lattice": [[5.923, 0.000, 0.000], [0.000, 5.923, 0.000], [0.000, 0.000, 5.582]], "species": ["Zn", "Zn", "Zn", "Zn", "P", "P", "P", "P", "P", "P", "P", "P"], "frac_coords": [[0.000, 0.000, 0.250], [0.000, 0.000, 0.750], [0.500, 0.500, 0.250], [0.500, 0.500, 0.750], [0.126, 0.374, 0.000], [0.126, 0.626, 0.500], [0.374, 0.126, 0.500], [0.374, 0.874, 0.000], [0.626, 0.126, 0.000], [0.626, 0.874, 0.500], [0.874, 0.374, 0.500], [0.874, 0.626, 0.000]], "dft_energy_ev_per_cell": -44.3, "rho_g_cm3": 4.32, "spacegroup": "I4/mcm, No. 140", "formation_energy_ev_per_atom": 0.34}

---

[10]
{"formula": "ZnP3", "functional": "PBE", "state": "optimized geometry", "lattice": [[9.587, 0.000, 0.000], [0.000, 3.143, 0.000], [-2.313, 0.000, 4.387]], "species": ["Zn", "Zn", "P", "P", "P", "P", "P", "P"], "frac_coords": [[0.000, 0.000, 0.000], [0.500, 0.500, 0.000], [0.000, 0.500, 0.500], [0.211, 0.000, 0.630], [0.289, 0.500, 0.370], [0.500, 0.000, 0.500], [0.711, 0.500, 0.630], [0.789, 0.000, 0.370]], "dft_energy_ev_per_cell": -31.8, "rho_g_cm3": 3.98, "spacegroup": "C2/m, No. 12", "formation_energy_ev_per_atom": 0.40, "e_above_lowest_polymorph_ev_per_atom": 0.523}

---

[11]
{"formula": "Zn5P3", "functional": "PBE", "state": "optimized geometry", "lattice": [[6.449, 0.000, 0.000], [0.000, 11.014, 0.000], [0.000, 0.000, 3.811]], "species": ["Zn", "Zn", "Zn", "Zn", "Zn", "Zn", "Zn", "Zn", "Zn", "Zn", "P", "P", "P", "P", "P", "P"], "frac_coords": [[0.000, 0.000, 0.000], [0.224, 0.500, 0.500], [0.250, 0.250, 0.000], [0.250, 0.750, 0.000], [0.276, 0.000, 0.500], [0.500, 0.500, 0.000], [0.724, 0.000, 0.500], [0.750, 0.250, 0.000], [0.750, 0.750, 0.000], [0.776, 0.500, 0.500], [0.000, 0.170, 0.500], [0.000, 0.500, 0.000], [0.000, 0.830, 0.500], [0.500, 0.000, 0.000], [0.500, 0.330, 0.500], [0.500, 0.670, 0.500]], "dft_energy_ev_per_cell": -43.0, "rho_g_cm3": 5.15, "spacegroup": "Cmmm, No. 65", "formation_energy_ev_per_atom": 0.14, "e_above_lowest_polymorph_ev_per_atom": 0.041}

---

[12]
{"formula": "ZrZn2P", "functional": "PBE", "state": "optimized geometry", "lattice": [[3.487, 0.000, 0.000], [0.000, 3.487, 0.000], [0.000, 0.000, 5.653]], "species": ["Zr", "Zn", "Zn", "P"], "frac_coords": [[0.000, 0.000, 0.000], [0.000, 0.000, 0.495], [0.500, 0.500, 0.686], [0.500, 0.500, 0.181]], "dft_energy_ev_per_cell": -18.1, "rho_g_cm3": 6.11, "spacegroup": "P4mm, No. 99", "formation_energy_ev_per_atom": -0.40}

---

Copy entry 5 word for word.
{"formula": "Zn2P", "functional": "PBE", "state": "optimized geometry", "lattice": [[2.538, 0.000, 0.000], [0.000, 15.043, 0.000], [0.000, 0.000, 5.002]], "species": ["Zn", "Zn", "Zn", "Zn", "Zn", "Zn", "Zn", "Zn", "P", "P", "P", "P"], "frac_coords": [[0.000, 0.081, 0.250], [0.000, 0.243, 0.750], [0.000, 0.757, 0.250], [0.000, 0.919, 0.750], [0.500, 0.257, 0.250], [0.500, 0.419, 0.750], [0.500, 0.581, 0.250], [0.500, 0.743, 0.750], [0.000, 0.421, 0.250], [0.000, 0.579, 0.750], [0.500, 0.079, 0.750], [0.500, 0.921, 0.250]], "dft_energy_ev_per_cell": -29.0, "rho_g_cm3": 5.63, "spacegroup": "Cmcm, No. 63", "formation_energy_ev_per_atom": 0.23}